1.
Computed, not measured: Pm6NdEr5 after structural relaxation at the GGA-PBE level of DFT.

Unit cell a=8.0512 b=8.0512 c=10.1025 alpha=90.00 beta=90.00 gamma=143.14
Atoms (fractional coordinates):
Pm  0.0000  0.0000  0.2477
Pm  0.0000  0.0000  0.7523
Pm  0.3330  0.6670  0.2483
Pm  0.3330  0.6670  0.7517
Pm  0.6670  0.3330  0.2483
Pm  0.6670  0.3330  0.7517
Nd  0.5000  0.5000  0.5000
Er  0.1664  0.8336  0.0000
Er  0.1681  0.8319  0.5000
Er  0.5000  0.5000  0.0000
Er  0.8319  0.1681  0.5000
Er  0.8336  0.1664  0.0000

Values from the calculation:
Energy (eV/cell): -55.86
Crystal system: orthorhombic
ρ (kg/m3): 7823

2.
Computed, not measured: Pm2NdEr4 after structural relaxation at the GGA-PBE level of DFT.

Unit cell a=3.6163 b=3.6163 c=20.1954 alpha=95.15 beta=95.15 gamma=60.02
Atoms (fractional coordinates):
Pm  0.0000  0.0000  0.0000
Pm  0.0948  0.0948  0.2866
Nd  0.1923  0.1923  0.5745
Er  0.2862  0.2862  0.8564
Er  0.3813  0.3813  0.1440
Er  0.8092  0.8092  0.4292
Er  0.9072  0.9072  0.7193

Values from the calculation:
Energy (eV/cell): -32.41
Crystal system: monoclinic
ρ (kg/m3): 8052
Offset from the most stable computed form (eV per formula unit): 0.00

3.
Computed, not measured: Pm3Nd7Er after structural relaxation at the GGA-PBE level of DFT.

Unit cell a=8.6210 b=8.6210 c=5.9849 alpha=110.26 beta=110.26 gamma=82.86
Atoms (fractional coordinates):
Pm  0.0000  0.0000  0.0000
Pm  0.2080  0.7920  0.5000
Pm  0.7920  0.2080  0.5000
Nd  0.0116  0.5975  0.8042
Nd  0.2099  0.2099  0.7106
Nd  0.4025  0.9884  0.1958
Nd  0.5000  0.5000  0.5000
Nd  0.5975  0.0116  0.8042
Nd  0.7901  0.7901  0.2894
Nd  0.9884  0.4025  0.1958
Er  0.5000  0.5000  0.0000

Values from the calculation:
Energy (eV/cell): -49.67
Crystal system: monoclinic
ρ (kg/m3): 6838
Offset from the most stable computed form (eV per formula unit): 1.18

4.
Computed, not measured: Pm2NdEr6 after structural relaxation at the GGA-PBE level of DFT.

Unit cell a=9.5426 b=9.5426 c=6.5617 alpha=98.63 beta=98.63 gamma=95.50
Atoms (fractional coordinates):
Pm  0.1151  0.1686  0.3724
Pm  0.1686  0.1151  0.8724
Pm  0.8314  0.8849  0.1276
Pm  0.8849  0.8314  0.6276
Nd  0.3796  0.6204  0.7500
Nd  0.6204  0.3796  0.2500
Er  0.0376  0.4423  0.7335
Er  0.1534  0.7783  0.9993
Er  0.2217  0.8466  0.5007
Er  0.2797  0.4535  0.1817
Er  0.4423  0.0376  0.2335
Er  0.4535  0.2797  0.6817
Er  0.5465  0.7203  0.3183
Er  0.5577  0.9624  0.7665
Er  0.7203  0.5465  0.8183
Er  0.7783  0.1534  0.4993
Er  0.8466  0.2217  0.0007
Er  0.9624  0.5577  0.2665

Values from the calculation:
Energy (eV/cell): -81.45
Crystal system: monoclinic
ρ (kg/m3): 8236
Offset from the most stable computed form (eV per formula unit): 0.24

5.
Computed, not measured: Pm2Nd8Er3 after structural relaxation at the GGA-PBE level of DFT.

Unit cell a=11.0361 b=11.0361 c=5.7138 alpha=90.01 beta=90.01 gamma=40.97
Atoms (fractional coordinates):
Pm  0.2397  0.2397  0.4994
Pm  0.7603  0.7603  0.5006
Nd  0.1295  0.1295  0.9999
Nd  0.1919  0.6004  0.4998
Nd  0.3288  0.3288  0.9995
Nd  0.3996  0.8081  0.5002
Nd  0.6004  0.1919  0.4998
Nd  0.6712  0.6712  0.0005
Nd  0.8081  0.3996  0.5002
Nd  0.8705  0.8705  0.0001
Er  0.0000  0.0000  0.5000
Er  0.2852  0.7148  0.0000
Er  0.7148  0.2852  0.0000

Values from the calculation:
Energy (eV/cell): -58.73
Crystal system: monoclinic
ρ (kg/m3): 7081
Offset from the most stable computed form (eV per formula unit): 0.53

6.
Computed, not measured: Pm4Nd5Er4 after structural relaxation at the GGA-PBE level of DFT.

Unit cell a=9.5862 b=9.5862 c=9.5862 alpha=94.06 beta=94.06 gamma=149.14
Atoms (fractional coordinates):
Pm  0.0768  0.6165  0.6933
Pm  0.3835  0.0768  0.4603
Pm  0.6165  0.9232  0.5397
Pm  0.9232  0.3835  0.3067
Nd  0.0000  0.0000  0.0000
Nd  0.3076  0.4597  0.7673
Nd  0.4597  0.6924  0.1521
Nd  0.5403  0.3076  0.8479
Nd  0.6924  0.5403  0.2327
Er  0.1546  0.2321  0.3868
Er  0.2321  0.8454  0.0775
Er  0.7679  0.1546  0.9225
Er  0.8454  0.7679  0.6132

Values from the calculation:
Energy (eV/cell): -60.87
Crystal system: tetragonal
ρ (kg/m3): 7511

7.
Computed, not measured: PmNd6Er12 after structural relaxation at the GGA-PBE level of DFT.

Unit cell a=8.8453 b=8.8453 c=8.8453 alpha=100.13 beta=100.13 gamma=100.13
Atoms (fractional coordinates):
Pm  0.0000  0.0000  0.0000
Nd  0.2203  0.2203  0.7359
Nd  0.2203  0.7359  0.2203
Nd  0.2641  0.7797  0.7797
Nd  0.7359  0.2203  0.2203
Nd  0.7797  0.2641  0.7797
Nd  0.7797  0.7797  0.2641
Er  0.1157  0.5000  0.8843
Er  0.1157  0.8843  0.5000
Er  0.1671  0.4523  0.4523
Er  0.4523  0.1671  0.4523
Er  0.4523  0.4523  0.1671
Er  0.5000  0.1157  0.8843
Er  0.5000  0.8843  0.1157
Er  0.5477  0.5477  0.8329
Er  0.5477  0.8329  0.5477
Er  0.8329  0.5477  0.5477
Er  0.8843  0.1157  0.5000
Er  0.8843  0.5000  0.1157

Values from the calculation:
Energy (eV/cell): -79.20
Crystal system: trigonal
ρ (kg/m3): 7648
Offset from the most stable computed form (eV per formula unit): 4.80

8.
Computed, not measured: Pm6NdEr12 after structural relaxation at the GGA-PBE level of DFT.

Unit cell a=8.6176 b=8.6176 c=8.6176 alpha=79.75 beta=79.75 gamma=79.75
Atoms (fractional coordinates):
Pm  0.2694  0.2694  0.6649
Pm  0.2694  0.6649  0.2694
Pm  0.3351  0.7306  0.7306
Pm  0.6649  0.2694  0.2694
Pm  0.7306  0.3351  0.7306
Pm  0.7306  0.7306  0.3351
Nd  0.5000  0.5000  0.5000
Er  0.0154  0.0154  0.6964
Er  0.0154  0.6964  0.0154
Er  0.0190  0.3625  0.3625
Er  0.3036  0.9846  0.9846
Er  0.3625  0.0190  0.3625
Er  0.3625  0.3625  0.0190
Er  0.6375  0.6375  0.9810
Er  0.6375  0.9810  0.6375
Er  0.6964  0.0154  0.0154
Er  0.9810  0.6375  0.6375
Er  0.9846  0.3036  0.9846
Er  0.9846  0.9846  0.3036

Values from the calculation:
Energy (eV/cell): -85.83
Crystal system: trigonal
ρ (kg/m3): 8190
Offset from the most stable computed form (eV per formula unit): 0.00

9.
Computed, not measured: Pm5NdEr4 after structural relaxation at the GGA-PBE level of DFT.

Unit cell a=9.2510 b=9.2510 c=10.5141 alpha=96.25 beta=96.25 gamma=22.31
Atoms (fractional coordinates):
Pm  0.0000  0.0000  0.0000
Pm  0.3110  0.3110  0.9042
Pm  0.3576  0.3576  0.2684
Pm  0.6424  0.6424  0.7316
Pm  0.6891  0.6891  0.0958
Nd  0.0000  0.0000  0.5000
Er  0.1833  0.1833  0.4109
Er  0.4540  0.4540  0.7396
Er  0.5460  0.5460  0.2604
Er  0.8167  0.8167  0.5891

Values from the calculation:
Energy (eV/cell): -45.22
Crystal system: monoclinic
ρ (kg/m3): 7523
Offset from the most stable computed form (eV per formula unit): 1.18

10.
Computed, not measured: Pm2Nd3Er4 after structural relaxation at the GGA-PBE level of DFT.

Unit cell a=10.1880 b=10.1880 c=6.1070 alpha=95.99 beta=95.99 gamma=70.13
Atoms (fractional coordinates):
Pm  0.0133  0.7436  0.6844
Pm  0.2564  0.9867  0.8156
Pm  0.7436  0.0133  0.1844
Pm  0.9867  0.2564  0.3156
Nd  0.1061  0.8939  0.2500
Nd  0.2313  0.4403  0.4055
Nd  0.4403  0.2313  0.9055
Nd  0.5597  0.7687  0.0945
Nd  0.7687  0.5597  0.5945
Nd  0.8939  0.1061  0.7500
Er  0.0853  0.3557  0.8503
Er  0.3179  0.5846  0.9781
Er  0.3557  0.0853  0.3503
Er  0.4154  0.6821  0.5219
Er  0.5846  0.3179  0.4781
Er  0.6443  0.9147  0.6497
Er  0.6821  0.4154  0.0219
Er  0.9147  0.6443  0.1497

Values from the calculation:
Energy (eV/cell): -82.36
Crystal system: monoclinic
ρ (kg/m3): 7817
Offset from the most stable computed form (eV per formula unit): 0.71

11.
Computed, not measured: Pm2Nd3Er6 after structural relaxation at the GGA-PBE level of DFT.

Unit cell a=16.8995 b=16.8995 c=16.8995 alpha=163.79 beta=163.79 gamma=23.00
Atoms (fractional coordinates):
Pm  0.0462  0.0462  0.0000
Pm  0.9538  0.9538  0.0000
Nd  0.2957  0.2957  0.0000
Nd  0.5000  0.5000  0.0000
Nd  0.7043  0.7043  0.0000
Er  0.1207  0.6207  0.5000
Er  0.1918  0.1918  0.0000
Er  0.3793  0.8793  0.5000
Er  0.6207  0.1207  0.5000
Er  0.8082  0.8082  0.0000
Er  0.8793  0.3793  0.5000

Values from the calculation:
Energy (eV/cell): -48.32
Crystal system: tetragonal
ρ (kg/m3): 7623
Offset from the most stable computed form (eV per formula unit): 0.77

12.
Computed, not measured: Pm3Nd3Er5 after structural relaxation at the GGA-PBE level of DFT.

Unit cell a=9.6472 b=9.6472 c=5.5574 alpha=90.00 beta=90.00 gamma=120.00
Atoms (fractional coordinates):
Pm  0.0000  0.5680  0.0000
Pm  0.4320  0.4320  0.0000
Pm  0.5680  0.0000  0.0000
Nd  0.0000  0.3676  0.5000
Nd  0.3676  0.0000  0.5000
Nd  0.6324  0.6324  0.5000
Er  0.0000  0.7322  0.5000
Er  0.2678  0.2678  0.5000
Er  0.3333  0.6667  0.5000
Er  0.6667  0.3333  0.5000
Er  0.7322  0.0000  0.5000

Values from the calculation:
Energy (eV/cell): -42.85
Crystal system: hexagonal
ρ (kg/m3): 6317

13.
Computed, not measured: PmNd3Er3 after structural relaxation at the GGA-PBE level of DFT.

Unit cell a=9.6639 b=9.6639 c=5.7796 alpha=90.00 beta=90.00 gamma=120.00
Atoms (fractional coordinates):
Pm  0.3333  0.6667  0.2500
Pm  0.6667  0.3333  0.7500
Nd  0.0958  0.6215  0.7500
Nd  0.3785  0.4743  0.7500
Nd  0.4743  0.0958  0.2500
Nd  0.5257  0.9042  0.7500
Nd  0.6215  0.5257  0.2500
Nd  0.9042  0.3785  0.2500
Er  0.0462  0.8138  0.2500
Er  0.1862  0.2323  0.2500
Er  0.2323  0.0462  0.7500
Er  0.7677  0.9538  0.2500
Er  0.8138  0.7677  0.7500
Er  0.9538  0.1862  0.7500

Values from the calculation:
Energy (eV/cell): -65.14
Crystal system: hexagonal
ρ (kg/m3): 7670
Offset from the most stable computed form (eV per formula unit): 0.00

14.
Computed, not measured: Pm2NdEr7 after structural relaxation at the GGA-PBE level of DFT.

Unit cell a=9.8157 b=9.8157 c=5.0464 alpha=90.00 beta=90.00 gamma=128.31
Atoms (fractional coordinates):
Pm  0.2009  0.7991  0.0000
Pm  0.7991  0.2009  0.0000
Nd  0.5000  0.5000  0.5000
Er  0.0000  0.0000  0.0000
Er  0.2119  0.4255  0.0000
Er  0.3052  0.6948  0.5000
Er  0.4255  0.2119  0.0000
Er  0.5745  0.7881  0.0000
Er  0.6948  0.3052  0.5000
Er  0.7881  0.5745  0.0000

Values from the calculation:
Energy (eV/cell): -39.27
Crystal system: orthorhombic
ρ (kg/m3): 6986
Offset from the most stable computed form (eV per formula unit): 6.73

15.
Computed, not measured: Pm2Nd7Er3 after structural relaxation at the GGA-PBE level of DFT.

Unit cell a=6.2498 b=5.5156 c=12.5313 alpha=90.00 beta=90.28 gamma=90.00
Atoms (fractional coordinates):
Pm  0.1023  0.0000  0.2790
Pm  0.8977  0.0000  0.7210
Nd  0.0566  0.5000  0.8192
Nd  0.2592  0.0000  0.5454
Nd  0.4191  0.0000  0.8292
Nd  0.5000  0.5000  0.0000
Nd  0.5809  0.0000  0.1708
Nd  0.7408  0.0000  0.4546
Nd  0.9434  0.5000  0.1808
Er  0.0000  0.0000  0.0000
Er  0.4354  0.5000  0.3451
Er  0.5646  0.5000  0.6549

Values from the calculation:
Energy (eV/cell): -53.14
Crystal system: monoclinic
ρ (kg/m3): 6925
Offset from the most stable computed form (eV per formula unit): 2.37

16.
Computed, not measured: Pm4NdEr5 after structural relaxation at the GGA-PBE level of DFT.

Unit cell a=8.7608 b=8.7608 c=11.2043 alpha=90.21 beta=90.21 gamma=23.27
Atoms (fractional coordinates):
Pm  0.0311  0.0311  0.2475
Pm  0.3441  0.3441  0.2501
Pm  0.6559  0.6559  0.7499
Pm  0.9689  0.9689  0.7525
Nd  0.5000  0.5000  0.5000
Er  0.1731  0.1731  0.0475
Er  0.1749  0.1749  0.4472
Er  0.5000  0.5000  0.0000
Er  0.8251  0.8251  0.5528
Er  0.8269  0.8269  0.9525

Values from the calculation:
Energy (eV/cell): -44.63
Crystal system: monoclinic
ρ (kg/m3): 7627
Offset from the most stable computed form (eV per formula unit): 0.00

17.
Computed, not measured: Pm5Nd5Er after structural relaxation at the GGA-PBE level of DFT.

Unit cell a=6.2276 b=6.2276 c=11.6510 alpha=90.00 beta=90.00 gamma=120.00
Atoms (fractional coordinates):
Pm  0.0000  0.0000  0.0000
Pm  0.3333  0.6667  0.3160
Pm  0.3333  0.6667  0.6840
Pm  0.6667  0.3333  0.1574
Pm  0.6667  0.3333  0.8426
Nd  0.0000  0.0000  0.2634
Nd  0.0000  0.0000  0.7366
Nd  0.3394  0.1697  0.5000
Nd  0.8303  0.1697  0.5000
Nd  0.8303  0.6606  0.5000
Er  0.3333  0.6667  0.0000

Values from the calculation:
Energy (eV/cell): -48.81
Crystal system: hexagonal
ρ (kg/m3): 6847

18.
Computed, not measured: Pm6NdEr3 after structural relaxation at the GGA-PBE level of DFT.

Unit cell a=11.0901 b=11.0901 c=6.3126 alpha=90.00 beta=90.00 gamma=120.46
Atoms (fractional coordinates):
Pm  0.0375  0.9625  0.5000
Pm  0.0552  0.4734  0.9895
Pm  0.2811  0.7189  0.2645
Pm  0.2911  0.3729  0.1657
Pm  0.3729  0.2911  0.6657
Pm  0.4734  0.0552  0.4895
Pm  0.5266  0.9448  0.9895
Pm  0.6271  0.7089  0.1657
Pm  0.7089  0.6271  0.6657
Pm  0.7189  0.2811  0.7645
Pm  0.9448  0.5266  0.4895
Pm  0.9625  0.0375  0.0000
Nd  0.1957  0.8043  0.7310
Nd  0.8043  0.1957  0.2310
Er  0.0577  0.2872  0.5818
Er  0.2872  0.0577  0.0818
Er  0.3846  0.6154  0.7049
Er  0.6154  0.3846  0.2049
Er  0.7128  0.9423  0.5818
Er  0.9423  0.7128  0.0818

Values from the calculation:
Energy (eV/cell): -91.02
Crystal system: orthorhombic
ρ (kg/m3): 7524
Offset from the most stable computed form (eV per formula unit): 0.18

19.
Computed, not measured: PmNd3Er6 after structural relaxation at the GGA-PBE level of DFT.

Unit cell a=13.0420 b=3.5319 c=14.3247 alpha=90.00 beta=100.29 gamma=90.00
Atoms (fractional coordinates):
Pm  0.0404  0.2500  0.2203
Pm  0.9596  0.7500  0.7797
Nd  0.0756  0.2500  0.6003
Nd  0.3716  0.7500  0.9960
Nd  0.4208  0.2500  0.4020
Nd  0.5792  0.7500  0.5980
Nd  0.6284  0.2500  0.0040
Nd  0.9244  0.7500  0.3997
Er  0.1201  0.2500  0.9867
Er  0.1939  0.7500  0.4258
Er  0.2215  0.7500  0.7865
Er  0.2712  0.7500  0.2000
Er  0.3454  0.2500  0.6226
Er  0.4993  0.7500  0.8093
Er  0.5007  0.2500  0.1907
Er  0.6546  0.7500  0.3774
Er  0.7288  0.2500  0.8000
Er  0.7785  0.2500  0.2135
Er  0.8061  0.2500  0.5742
Er  0.8799  0.7500  0.0133

Values from the calculation:
Energy (eV/cell): -91.58
Crystal system: monoclinic
ρ (kg/m3): 8089
Offset from the most stable computed form (eV per formula unit): 0.00